(1)
Density functional theory data (GGA-PBE) for a relaxed structure of HRh2O2.

Calculated volume = 10.4 Å³/atom
Offset from the most stable computed form = 606 meV/atom

a = 6.2105 Å, b = 6.2105 Å, c = 2.7054 Å
α = 90.00°, β = 90.00°, γ = 90.00°
Element x y z (fractional)
1 H 0.0000 0.0000 0.0000
2 H 0.5000 0.5000 0.0000
3 Rh 0.2014 0.2986 0.5000
4 Rh 0.2986 0.7986 0.5000
5 Rh 0.7014 0.2014 0.5000
6 Rh 0.7986 0.7014 0.5000
7 O 0.1336 0.6336 0.0000
8 O 0.3664 0.1336 0.0000
9 O 0.6336 0.8664 0.0000
10 O 0.8664 0.3664 0.0000

***

(2)
Density functional theory data (GGA-PBE) for a relaxed structure of Ga2GeH6.

Total DFT energy (no corrections) = -2.99 eV/atom
Calculated volume = 11.1 Å³/atom

a = 5.2161 Å, b = 5.2161 Å, c = 5.2161 Å
α = 60.00°, β = 60.00°, γ = 60.00°
Element x y z (fractional)
1 Ga 0.2500 0.2500 0.2500
2 Ga 0.7500 0.7500 0.7500
3 Ge 0.0000 0.0000 0.0000
4 H 0.2315 0.2315 0.7685
5 H 0.2315 0.7685 0.2315
6 H 0.2315 0.7685 0.7685
7 H 0.7685 0.2315 0.2315
8 H 0.7685 0.2315 0.7685
9 H 0.7685 0.7685 0.2315

***

(3)
Density functional theory data (GGA-PBE) for a relaxed structure of AlPb3I.

Calculated volume = 43.6 Å³/atom
Formation energy from raw total energies = 845 meV per atom
Offset from the most stable computed form = 539 meV/atom

a = 6.0163 Å, b = 6.0163 Å, c = 6.0163 Å
α = 90.00°, β = 90.00°, γ = 90.00°
Element x y z (fractional)
1 Al 0.0000 0.0000 0.0000
2 Pb 0.0000 0.5000 0.5000
3 Pb 0.5000 0.0000 0.5000
4 Pb 0.5000 0.5000 0.0000
5 I 0.5000 0.5000 0.5000

***

(4)
Density functional theory data (GGA-PBE) for a relaxed structure of Nd2PuIn9.

Calculated volume = 25.9 Å³/atom
Formation energy from the elements = -0.39 eV/atom

a = 4.6913 Å, b = 4.6913 Å, c = 14.1049 Å
α = 90.00°, β = 90.00°, γ = 90.00°
Element x y z (fractional)
1 Nd 0.0000 0.0000 0.1667
2 Nd 0.0000 0.0000 0.8333
3 Pu 0.0000 0.0000 0.5000
4 In 0.0000 0.5000 0.0000
5 In 0.0000 0.5000 0.3369
6 In 0.0000 0.5000 0.6631
7 In 0.5000 0.0000 0.0000
8 In 0.5000 0.0000 0.3369
9 In 0.5000 0.0000 0.6631
10 In 0.5000 0.5000 0.1684
11 In 0.5000 0.5000 0.5000
12 In 0.5000 0.5000 0.8316

***

(5)
Density functional theory data (GGA-PBE) for a relaxed structure of TlMo2Ru.

Calculated volume = 16.7 Å³/atom
Offset from the most stable computed form = 173 meV/atom
Formation energy from the elements = 0.56 eV/atom

a = 3.9183 Å, b = 3.9183 Å, c = 4.3503 Å
α = 90.00°, β = 90.00°, γ = 90.00°
Element x y z (fractional)
1 Tl 0.0000 0.0000 0.0000
2 Mo 0.0000 0.5000 0.5000
3 Mo 0.5000 0.0000 0.5000
4 Ru 0.5000 0.5000 0.0000

***

(6)
Density functional theory data (GGA-PBE) for a relaxed structure of LiMnCr3.

Calculated volume = 11.7 Å³/atom
Offset from the most stable computed form = 360 meV/atom
Formation energy from the elements = 1.52 eV/atom

a = 3.8811 Å, b = 3.8811 Å, c = 3.8811 Å
α = 90.00°, β = 90.00°, γ = 90.00°
Element x y z (fractional)
1 Li 0.0000 0.0000 0.0000
2 Mn 0.5000 0.5000 0.5000
3 Cr 0.0000 0.0000 0.5000
4 Cr 0.0000 0.5000 0.0000
5 Cr 0.5000 0.0000 0.0000

***

(7)
Density functional theory data (GGA-PBE) for a relaxed structure of RbTi2Cl7.

Calculated volume = 25.0 Å³/atom
Formation energy from raw total energies = -1546 meV per atom

a = 7.6574 Å, b = 7.6574 Å, c = 4.8287 Å
α = 90.00°, β = 90.00°, γ = 117.79°
Element x y z (fractional)
1 Rb 0.0000 0.0000 0.0000
2 Ti 0.3032 0.6968 0.5000
3 Ti 0.6968 0.3032 0.5000
4 Cl 0.0445 0.3333 0.5000
5 Cl 0.3026 0.6974 0.0000
6 Cl 0.3333 0.0445 0.5000
7 Cl 0.5000 0.5000 0.5000
8 Cl 0.6667 0.9555 0.5000
9 Cl 0.6974 0.3026 0.0000
10 Cl 0.9555 0.6667 0.5000

***

(8)
Density functional theory data (GGA-PBE) for a relaxed structure of RbAs2AuSe.

Calculated volume = 29.1 Å³/atom
Formation energy from raw total energies = 224 meV per atom
Offset from the most stable computed form = 0 meV/atom

a = 5.1281 Å, b = 5.1281 Å, c = 5.5285 Å
α = 90.00°, β = 90.00°, γ = 90.00°
Element x y z (fractional)
1 Rb 0.0000 0.0000 0.0000
2 As 0.0000 0.5000 0.5000
3 As 0.5000 0.0000 0.5000
4 Au 0.5000 0.5000 0.5000
5 Se 0.5000 0.5000 0.0000

***

(9)
Density functional theory data (GGA-PBE) for a relaxed structure of PmCu5Si2.

Calculated volume = 15.1 Å³/atom
Formation energy from raw total energies = -300 meV per atom

a = 3.9159 Å, b = 6.7281 Å, c = 9.1919 Å
α = 90.00°, β = 90.00°, γ = 90.00°
Element x y z (fractional)
1 Pm 0.0000 0.0000 0.0000
2 Pm 0.5000 0.5000 0.5000
3 Cu 0.0000 0.1828 0.3528
4 Cu 0.0000 0.1828 0.6472
5 Cu 0.0000 0.5000 0.0000
6 Cu 0.0000 0.8172 0.3528
7 Cu 0.0000 0.8172 0.6472
8 Cu 0.5000 0.0000 0.5000
9 Cu 0.5000 0.3172 0.1472
10 Cu 0.5000 0.3172 0.8528
11 Cu 0.5000 0.6828 0.1472
12 Cu 0.5000 0.6828 0.8528
13 Si 0.0000 0.5000 0.2492
14 Si 0.0000 0.5000 0.7508
15 Si 0.5000 0.0000 0.2508
16 Si 0.5000 0.0000 0.7492

***

(10)
Density functional theory data (GGA-PBE) for a relaxed structure of Al2CoBr.

Calculated volume = 17.2 Å³/atom
Formation energy from raw total energies = 576 meV per atom
Offset from the most stable computed form = 788 meV/atom

a = 4.1321 Å, b = 4.1321 Å, c = 8.0686 Å
α = 90.00°, β = 90.00°, γ = 90.00°
Element x y z (fractional)
1 Al 0.0000 0.0000 0.0000
2 Al 0.0000 0.5000 0.2500
3 Al 0.5000 0.0000 0.7500
4 Al 0.5000 0.5000 0.5000
5 Co 0.0000 0.0000 0.5000
6 Co 0.5000 0.5000 0.0000
7 Br 0.0000 0.5000 0.7500
8 Br 0.5000 0.0000 0.2500

***

(11)
Density functional theory data (GGA-PBE) for a relaxed structure of SmLuIr.

Calculated volume = 26.2 Å³/atom
Offset from the most stable computed form = 0 meV/atom
Formation energy from the elements = -0.67 eV/atom

a = 6.8025 Å, b = 6.8025 Å, c = 6.8025 Å
α = 90.00°, β = 90.00°, γ = 90.00°
Element x y z (fractional)
1 Sm 0.0000 0.0000 0.0000
2 Sm 0.0000 0.5000 0.5000
3 Sm 0.5000 0.0000 0.5000
4 Sm 0.5000 0.5000 0.0000
5 Lu 0.0000 0.0000 0.5000
6 Lu 0.0000 0.5000 0.0000
7 Lu 0.5000 0.0000 0.0000
8 Lu 0.5000 0.5000 0.5000
9 Ir 0.2500 0.2500 0.7500
10 Ir 0.2500 0.7500 0.2500
11 Ir 0.7500 0.2500 0.2500
12 Ir 0.7500 0.7500 0.7500

***

(12)
Density functional theory data (GGA-PBE) for a relaxed structure of CsRbCo2Hg.

Calculated volume = 53.7 Å³/atom
Formation energy from the elements = 1.37 eV/atom

a = 6.3940 Å, b = 6.3940 Å, c = 6.5660 Å
α = 90.00°, β = 90.00°, γ = 90.00°
Element x y z (fractional)
1 Cs 0.0000 0.0000 0.0000
2 Rb 0.5000 0.5000 0.5000
3 Co 0.0000 0.5000 0.5000
4 Co 0.5000 0.0000 0.5000
5 Hg 0.5000 0.5000 0.0000

***

| no. | total magnetic moment (μB per cell) |
| --- | --- |
| 1 | 0.0 |
| 2 | 0.0 |
| 3 | 0.0 |
| 4 | 5.5 |
| 5 | 0.0 |
| 6 | 0.0 |
| 7 | 2.0 |
| 8 | 1.0 |
| 9 | 0.0 |
| 10 | 2.6 |
| 11 | 0.0 |
| 12 | 4.0 |